A geometry-optimized PdPt2Au5 structure, computed with PBE.

The structure in CIF format:
```
data_PdPt2Au5
_symmetry_space_group_name_H-M 'I 4/m c m'
_symmetry_Int_Tables_number 140
_symmetry_space_group_name_Hall '-I 4 2c'
_cell_length_a 7.083
_cell_length_b 7.083
_cell_length_c 11.345
_cell_angle_alpha 90.00
_cell_angle_beta 90.00
_cell_angle_gamma 90.00
loop_
_atom_site_label
_atom_site_type_symbol
_atom_site_fract_x
_atom_site_fract_y
_atom_site_fract_z
_atom_site_occupancy
Pd1 Pd 0.000 0.000 0.250 1
Pt1 Pt 0.140 0.360 0.000 1
Au1 Au 0.000 0.000 0.000 1
Au2 Au 0.153 0.347 0.338 1
```

Calculated values
Energy relative to the elements: 12.2 kJ/mol of atoms
Total energy: -4.081 eV per atom
Volume: 569.2 Å³/cell
DOS(E_F): 33.20 states/eV/cell
Magnetization: 0.00 μB/atom
Energy above the most stable polymorph in this dataset: 0 meV/atom